# CaThMg2

Crystalline CaThMg2 at its relaxed geometry (PBE, Alexandria via LeMat-Bulk).

extended XYZ file:
```
4
Lattice="3.583 0.000 0.000 0.000 3.583 0.000 0.000 0.000 9.182" Properties=species:S:1:pos:R:3 pbc="T T T"
Ca 0.000 0.000 0.000
Th 0.000 0.000 4.591
Mg 1.792 1.792 2.302
Mg 1.792 1.792 6.880
```

Formation enthalpy at 0 K ... 16 meV per atom